VASP calculation (PBE) on crystalline Nd5Dy3P8 at its relaxed geometry.

Cell and atoms, written as CIF:
```
data_Nd5Dy3P8
_space_group_name_H-M_alt 'R -3 m'
_space_group_IT_number 166
_space_group_name_Hall '-R 3 2"'
_cell_length_a 8.2174
_cell_length_b 8.2174
_cell_length_c 20.1266
_cell_angle_alpha 90.00
_cell_angle_beta 90.00
_cell_angle_gamma 120.00
loop_
_atom_site_label
_atom_site_type_symbol
_atom_site_fract_x
_atom_site_fract_y
_atom_site_fract_z
Nd1 Nd 0.0000 0.0000 0.0000
Nd2 Nd 0.0000 0.0000 0.5000
Nd3 Nd 0.0000 0.5000 0.0000
Dy1 Dy 0.0000 0.5000 0.5000
P1 P 0.0000 0.0000 0.2468
P2 P 0.0043 0.5022 0.7522
```

Calculated values
E_tot ... -317.5 eV/cell
DOS at the Fermi energy ... 6.4 states/eV per cell
Formation enthalpy at 0 K ... -1.56 eV/atom